# La2PrY2Er2

A relaxed La2PrY2Er2 crystal (PBE, Alexandria).

Cell: 11.443 5.114 8.154 Å, 90.00 98.24 90.00°
Space group C2/m (No. 12)
Symmetry-distinct sites (fractional):
La (0.141, 0.000, 0.428)
Pr (0.000, 0.000, 0.000)
Y (0.216, 0.500, 0.140)
Er (0.071, 0.500, 0.716)

## Properties
E_form = 30 meV per atom

# LaPr5Y2Er

A relaxed LaPr5Y2Er crystal (PBE, Alexandria).

Cell: 9.572 9.572 14.125 Å, 90.00 90.00 90.00°
Space group I4/mcm (No. 140)
Symmetry-distinct sites (fractional):
La (0.000, 0.000, 0.250)
Pr (0.000, 0.000, 0.000)
Pr (0.202, 0.298, 0.133)
Y (0.108, 0.392, 0.500)
Er (0.000, 0.500, 0.250)

## Properties
E_form = 290 meV per atom

# LaPrErZn

A relaxed LaPrErZn crystal (PBE, Alexandria).

Cell: 3.652 3.652 8.907 Å, 90.00 90.00 90.00°
Space group P4mm (No. 99)
Symmetry-distinct sites (fractional):
La (0.000, 0.000, 0.000)
Pr (0.500, 0.500, 0.309)
Er (0.000, 0.000, 0.592)
Zn (0.500, 0.500, 0.771)

## Properties
E_form = -153 meV per atom
Relative energy among the computed polymorphs = 0 meV per atom

# LaPrErZn

A relaxed LaPrErZn crystal (PBE, Alexandria).

Cell: 7.772 7.772 7.772 Å, 90.00 90.00 90.00°
Space group F-43m (No. 216)
Symmetry-distinct sites (fractional):
La (0.000, 0.000, 0.000)
Pr (0.000, 0.000, 0.500)
Er (0.250, 0.250, 0.750)
Zn (0.250, 0.250, 0.250)

## Properties
E_form = 8 meV per atom
Relative energy among the computed polymorphs = 161 meV per atom

# LaPrErZr

A relaxed LaPrErZr crystal (PBE, Alexandria).

Cell: 7.877 7.877 7.877 Å, 90.00 90.00 90.00°
Space group F-43m (No. 216)
Symmetry-distinct sites (fractional):
La (0.000, 0.000, 0.000)
Pr (0.000, 0.000, 0.500)
Er (0.250, 0.250, 0.250)
Zr (0.250, 0.250, 0.750)

## Properties
E_form = 197 meV per atom

# LaEr2Pt

A relaxed LaEr2Pt crystal (PBE, Alexandria).

Cell: 7.183 9.649 6.573 Å, 90.00 90.00 90.00°
Space group Pnma (No. 62)
Symmetry-distinct sites (fractional):
La (0.023, 0.250, 0.135)
Er (0.176, 0.064, 0.671)
Pt (0.117, 0.750, 0.425)

## Properties
E_form = -701 meV per atom
Relative energy among the computed polymorphs = 0 meV per atom

So what do the calculations give for V? Going down the list: 236.1, 323.6, 118.8, 117.4, 122.2, 113.9 Å³/f.u..